LiBi2Au (GGA-PBE, relaxed); excess energy over the best structure of this formula in the dataset = 88 meV/atom; VASP energy = -3.36 eV/atom; calculated formation energy = -118 meV/atom
1.0
0.000 3.648 3.648
3.648 0.000 3.648
3.648 3.648 0.000
Li Bi Au
1 2 1
Direct
0.000 0.000 0.000
0.250 0.250 0.250
0.750 0.750 0.750
0.500 0.500 0.500

---

LiBi2Au (GGA-PBE, relaxed); excess energy over the best structure of this formula in the dataset = 0 meV/atom; VASP energy = -3.44 eV/atom; calculated formation energy = -206 meV/atom
1.0
4.741 0.000 0.000
0.000 4.741 0.000
0.000 0.000 4.279
Li Bi Au
1 2 1
Direct
0.000 0.000 0.000
0.000 0.500 0.500
0.500 0.000 0.500
0.500 0.500 0.000

---

LiBiAu3 (GGA-PBE, relaxed); excess energy over the best structure of this formula in the dataset = 314 meV/atom; VASP energy = -3.01 eV/atom; calculated formation energy = 111 meV/atom
1.0
4.662 0.000 0.000
0.000 4.662 0.000
0.000 0.000 4.662
Li Bi Au
1 1 3
Direct
0.000 0.000 0.000
0.500 0.500 0.500
0.000 0.000 0.500
0.000 0.500 0.000
0.500 0.000 0.000

---

Li3BiAu4 (GGA-PBE, relaxed); excess energy over the best structure of this formula in the dataset = 5 meV/atom; VASP energy = -3.25 eV/atom; calculated formation energy = -406 meV/atom
1.0
7.345 -2.249 0.000
7.345 2.249 0.000
-1.333 0.000 4.302
Li Bi Au
3 1 4
Direct
0.000 0.000 0.000
0.249 0.249 0.256
0.751 0.751 0.744
0.500 0.500 0.500
0.144 0.144 0.655
0.356 0.356 0.859
0.644 0.644 0.141
0.856 0.856 0.345

---

Li2BiAu2 (GGA-PBE, relaxed); excess energy over the best structure of this formula in the dataset = 124 meV/atom; VASP energy = -3.15 eV/atom; calculated formation energy = -293 meV/atom
1.0
2.768 -4.219 0.000
2.768 4.219 0.000
-2.722 0.000 4.271
Li Bi Au
2 1 2
Direct
0.151 0.151 0.310
0.849 0.849 0.690
0.500 0.500 0.000
0.252 0.748 0.500
0.748 0.252 0.500

---

LiBi2Au2 (GGA-PBE, relaxed); excess energy over the best structure of this formula in the dataset = 185 meV/atom; VASP energy = -3.27 eV/atom; calculated formation energy = -28 meV/atom
1.0
-2.390 2.390 6.153
2.390 -2.390 6.153
2.390 2.390 -6.153
Li Bi Au
1 2 2
Direct
0.000 0.000 0.000
0.250 0.750 0.500
0.750 0.250 0.500
0.392 0.392 0.000
0.608 0.608 0.000

---

Question: Which value of calculated formation energy does entry 1 give?
Answer: -118 meV/atom

---

Question: The lowest excess energy over the best structure of this formula in the dataset belongs to which entry?
Answer: number 2